i:
OsBrCl4, optimized geometry, DFT GGA-PBE; DOS(E_F) = 6.834 states/eV per cell; space group = P2_1/c, No. 14
1.0
8.207 12.179 0.000
5.093 16.428 0.000
0.000 0.000 6.608
Cl Os Br
8 2 2
Direct
0.274 0.367 0.322 Cl
0.274 0.867 0.178 Cl
0.166 0.920 0.706 Cl
0.726 0.133 0.822 Cl
0.834 0.080 0.294 Cl
0.726 0.633 0.678 Cl
0.166 0.420 0.794 Cl
0.834 0.580 0.206 Cl
0.000 0.000 0.000 Os
0.000 0.500 0.500 Os
0.500 0.500 0.000 Br
0.500 0.000 0.500 Br



ii:
OsBrCl4, optimized geometry, DFT GGA-PBE; DOS(E_F) = 3.697 states/eV per cell; space group = F-43m, No. 216
1.0
0.323 -4.769 3.172
2.540 0.141 5.142
-3.150 -0.492 4.769
Cl Br Os
4 1 1
Direct
0.376 0.376 0.872 Cl
0.376 0.376 0.376 Cl
0.376 0.872 0.376 Cl
0.872 0.376 0.376 Cl
0.000 0.000 0.000 Br
0.750 0.750 0.750 Os



Sorted by energy, starting with the most stable: i, ii.